Entry 1:
{
  "formula": "SrBCl2",
  "functional": "PBE-GGA",
  "state": "optimized geometry",
  "cell": [[-0.473, -4.485, 2.229], [2.286, -2.186, -3.913], [8.659, -2.213, 3.060]],
  "species": ["Sr", "Sr", "B", "B", "Cl", "Cl", "Cl", "Cl"],
  "fractional_positions": [[0.000, 0.000, 0.000], [0.750, 0.250, 0.500], [0.500, 0.500, 0.000], [0.250, 0.750, 0.500], [0.605, 0.125, 0.250], [0.145, 0.625, 0.250], [0.375, 0.395, 0.750], [0.875, 0.855, 0.750]],
  "magnetic_moment_mub_per_cell": 2.000,
  "raw_formation_energy_ev_per_atom": -0.2667,
  "total_energy_ev_per_fu": -13.12,
  "polymorph_energy_ev_per_fu": 0.38
}

---

Entry 2:
{
  "formula": "SrB4Cl2",
  "functional": "PBE-GGA",
  "state": "optimized geometry",
  "cell": [[-1.604, -1.130, 5.366], [-5.032, -1.918, -1.908], [-0.435, -8.486, 1.125]],
  "species": ["Sr", "B", "B", "B", "B", "Cl", "Cl"],
  "fractional_positions": [[0.000, 0.000, 0.000], [0.812, 0.812, 0.375], [0.188, 0.188, 0.625], [0.000, 0.500, 0.000], [0.500, 0.000, 0.000], [0.700, 0.700, 0.600], [0.300, 0.300, 0.400]],
  "magnetic_moment_mub_per_cell": 3.940,
  "raw_formation_energy_ev_per_atom": 1.7401,
  "total_energy_ev_per_fu": -19.90
}

---

Entry 3:
{
  "formula": "SrB2Cl8",
  "functional": "PBE-GGA",
  "state": "optimized geometry",
  "cell": [[8.705, 0.000, 3.842], [3.393, 8.475, 4.095], [0.736, 1.320, 10.115]],
  "species": ["Sr", "Sr", "B", "B", "B", "B", "Cl", "Cl", "Cl", "Cl", "Cl", "Cl", "Cl", "Cl", "Cl", "Cl", "Cl", "Cl", "Cl", "Cl", "Cl", "Cl"],
  "fractional_positions": [[0.032, 0.750, 0.250], [0.968, 0.250, 0.750], [0.858, 0.866, 0.931], [0.346, 0.366, 0.431], [0.654, 0.634, 0.569], [0.142, 0.134, 0.069], [0.467, 0.714, 0.517], [0.084, 0.994, 0.290], [0.785, 0.999, 0.048], [0.271, 0.195, 0.483], [0.215, 0.001, 0.952], [0.949, 0.305, 0.017], [0.729, 0.805, 0.517], [0.168, 0.499, 0.548], [0.051, 0.695, 0.983], [0.697, 0.786, 0.983], [0.632, 0.494, 0.790], [0.368, 0.506, 0.210], [0.303, 0.214, 0.017], [0.832, 0.501, 0.452], [0.533, 0.286, 0.483], [0.916, 0.006, 0.710]],
  "magnetic_moment_mub_per_cell": 0.248,
  "raw_formation_energy_ev_per_atom": -1.3501,
  "total_energy_ev_per_fu": -44.66,
  "polymorph_energy_ev_per_fu": 0.00
}

---

Entry 4:
{
  "formula": "SrBCl2",
  "functional": "PBE-GGA",
  "state": "optimized geometry",
  "cell": [[0.000, 3.578, 3.578], [3.578, 0.000, 3.578], [3.578, 3.578, 0.000]],
  "species": ["Sr", "B", "Cl", "Cl"],
  "fractional_positions": [[0.500, 0.500, 0.500], [0.000, 0.000, 0.000], [0.250, 0.250, 0.250], [0.750, 0.750, 0.750]],
  "magnetic_moment_mub_per_cell": 1.000,
  "raw_formation_energy_ev_per_atom": -0.3520,
  "total_energy_ev_per_fu": -13.46,
  "polymorph_energy_ev_per_fu": 0.04
}

---

Entry 5:
{
  "formula": "SrB2Cl6",
  "functional": "PBE-GGA",
  "state": "optimized geometry",
  "cell": [[-7.930, 1.294, 3.688], [-5.273, -0.262, -5.972], [-2.799, -7.243, 1.799]],
  "species": ["Sr", "Sr", "B", "B", "B", "B", "Cl", "Cl", "Cl", "Cl", "Cl", "Cl", "Cl", "Cl", "Cl", "Cl", "Cl", "Cl"],
  "fractional_positions": [[0.250, 0.117, 0.883], [0.750, 0.883, 0.117], [0.073, 0.754, 0.836], [0.427, 0.164, 0.246], [0.927, 0.246, 0.164], [0.573, 0.836, 0.754], [0.136, 0.905, 0.660], [0.364, 0.340, 0.095], [0.864, 0.095, 0.340], [0.636, 0.660, 0.905], [0.613, 0.765, 0.533], [0.887, 0.467, 0.235], [0.387, 0.235, 0.467], [0.113, 0.533, 0.765], [0.136, 0.777, 0.035], [0.364, 0.965, 0.223], [0.864, 0.223, 0.965], [0.636, 0.035, 0.777]],
  "magnetic_moment_mub_per_cell": 4.000,
  "raw_formation_energy_ev_per_atom": -0.9412,
  "total_energy_ev_per_fu": -34.59
}

---

Entry 6:
{
  "formula": "Sr3BCl",
  "functional": "PBE-GGA",
  "state": "optimized geometry",
  "cell": [[5.701, 0.000, 0.000], [0.000, 5.701, 0.000], [0.000, 0.000, 5.701]],
  "species": ["Sr", "Sr", "Sr", "B", "Cl"],
  "fractional_positions": [[0.000, 0.500, 0.000], [0.000, 0.000, 0.500], [0.500, 0.000, 0.000], [0.000, 0.000, 0.000], [0.500, 0.500, 0.500]],
  "magnetic_moment_mub_per_cell": 0.000,
  "raw_formation_energy_ev_per_atom": -0.1912,
  "total_energy_ev_per_fu": -14.53,
  "polymorph_energy_ev_per_fu": 0.00
}